{
  "formula": "TlCr2BiO8",
  "functional": "PBE with a Hubbard U",
  "state": "relaxed",
  "lattice_angstrom": [[5.672, 0.000, 0.000], [-2.836, 4.912, 0.000], [0.000, 0.000, 8.119]],
  "species": ["Tl", "Cr", "Cr", "Bi", "O", "O", "O", "O", "O", "O", "O", "O"],
  "fractional_positions": [[0.000, 0.000, 0.000], [0.333, 0.667, 0.749], [0.667, 0.333, 0.251], [0.000, 0.000, 0.500], [0.100, 0.354, 0.683], [0.253, 0.900, 0.683], [0.333, 0.667, 0.949], [0.354, 0.253, 0.317], [0.646, 0.747, 0.683], [0.667, 0.333, 0.051], [0.747, 0.100, 0.317], [0.900, 0.646, 0.317]],
  "magnetic_moment_mub_per_cell": 0.0,
  "spacegroup": "P-3",
  "total_energy_ev_per_cell": -75.4
}


{
  "formula": "TmCr2BiO6",
  "functional": "PBE with a Hubbard U",
  "state": "relaxed",
  "lattice_angstrom": [[2.754, 1.590, 4.583], [-2.754, 1.590, 4.583], [0.000, -3.180, 4.583]],
  "species": ["Tm", "Cr", "Cr", "Bi", "O", "O", "O", "O", "O", "O"],
  "fractional_positions": [[0.000, 0.000, 0.000], [0.220, 0.220, 0.220], [0.719, 0.719, 0.719], [0.494, 0.494, 0.494], [0.049, 0.439, 0.886], [0.361, 0.942, 0.573], [0.439, 0.886, 0.049], [0.573, 0.361, 0.942], [0.886, 0.049, 0.439], [0.942, 0.573, 0.361]],
  "magnetic_moment_mub_per_cell": 6.0,
  "spacegroup": "R3",
  "total_energy_ev_per_cell": -74.8
}


{
  "formula": "UCrBiO6",
  "functional": "PBE with a Hubbard U",
  "state": "relaxed",
  "lattice_angstrom": [[5.435, 0.000, 0.000], [-2.717, 4.707, 0.000], [0.000, 0.000, 10.004]],
  "species": ["U", "U", "Cr", "Cr", "Bi", "Bi", "O", "O", "O", "O", "O", "O", "O", "O", "O", "O", "O", "O"],
  "fractional_positions": [[0.333, 0.667, 0.250], [0.667, 0.333, 0.750], [0.333, 0.667, 0.750], [0.667, 0.333, 0.250], [0.000, 0.000, 0.000], [0.000, 0.000, 0.500], [0.009, 0.363, 0.640], [0.009, 0.646, 0.860], [0.354, 0.363, 0.860], [0.354, 0.991, 0.640], [0.363, 0.009, 0.140], [0.363, 0.354, 0.360], [0.637, 0.646, 0.640], [0.637, 0.991, 0.860], [0.646, 0.009, 0.360], [0.646, 0.637, 0.140], [0.991, 0.354, 0.140], [0.991, 0.637, 0.360]],
  "magnetic_moment_mub_per_cell": 6.0,
  "spacegroup": "P-31c",
  "total_energy_ev_per_cell": -145.8
}


{
  "formula": "VCr2BiO8",
  "functional": "PBE with a Hubbard U",
  "state": "relaxed",
  "lattice_angstrom": [[3.271, -3.304, 0.000], [3.271, 3.304, 0.000], [0.000, 0.000, 6.304]],
  "species": ["V", "Cr", "Cr", "Bi", "O", "O", "O", "O", "O", "O", "O", "O"],
  "fractional_positions": [[0.000, 0.000, 0.000], [0.500, 0.500, 0.235], [0.500, 0.500, 0.765], [0.000, 0.000, 0.500], [0.197, 0.803, 0.218], [0.197, 0.803, 0.782], [0.298, 0.298, 0.000], [0.323, 0.323, 0.500], [0.677, 0.677, 0.500], [0.702, 0.702, 0.000], [0.803, 0.197, 0.218], [0.803, 0.197, 0.782]],
  "magnetic_moment_mub_per_cell": 5.5,
  "spacegroup": "Cmmm",
  "total_energy_ev_per_cell": -84.3
}


{
  "formula": "VCr2BiO6",
  "functional": "PBE with a Hubbard U",
  "state": "relaxed",
  "lattice_angstrom": [[2.682, 1.549, 4.676], [-2.682, 1.549, 4.676], [0.000, -3.097, 4.676]],
  "species": ["V", "Cr", "Cr", "Bi", "O", "O", "O", "O", "O", "O"],
  "fractional_positions": [[0.000, 0.000, 0.000], [0.205, 0.205, 0.205], [0.697, 0.697, 0.697], [0.479, 0.479, 0.479], [0.035, 0.860, 0.410], [0.307, 0.587, 0.931], [0.410, 0.035, 0.860], [0.587, 0.931, 0.307], [0.860, 0.410, 0.035], [0.931, 0.307, 0.587]],
  "magnetic_moment_mub_per_cell": 8.0,
  "spacegroup": "R3",
  "total_energy_ev_per_cell": -73.4
}


{
  "formula": "YCr2BiO6",
  "functional": "PBE with a Hubbard U",
  "state": "relaxed",
  "lattice_angstrom": [[2.770, 1.600, 4.554], [-2.770, 1.600, 4.554], [0.000, -3.199, 4.554]],
  "species": ["Y", "Cr", "Cr", "Bi", "O", "O", "O", "O", "O", "O"],
  "fractional_positions": [[0.000, 0.000, 0.000], [0.275, 0.275, 0.275], [0.775, 0.775, 0.775], [0.501, 0.501, 0.501], [0.052, 0.624, 0.429], [0.107, 0.551, 0.946], [0.429, 0.052, 0.624], [0.551, 0.946, 0.107], [0.624, 0.429, 0.052], [0.946, 0.107, 0.551]],
  "magnetic_moment_mub_per_cell": 6.0,
  "spacegroup": "R3",
  "total_energy_ev_per_cell": -76.6
}


{
  "formula": "ZnCrBiO5",
  "functional": "PBE with a Hubbard U",
  "state": "relaxed",
  "lattice_angstrom": [[5.371, 0.000, 0.000], [0.000, 11.705, 0.000], [-3.229, 0.000, 7.425]],
  "species": ["Zn", "Zn", "Zn", "Zn", "Cr", "Cr", "Cr", "Cr", "Bi", "Bi", "Bi", "Bi", "O", "O", "O", "O", "O", "O", "O", "O", "O", "O", "O", "O", "O", "O", "O", "O", "O", "O", "O", "O"],
  "fractional_positions": [[0.055, 0.083, 0.169], [0.055, 0.417, 0.669], [0.945, 0.583, 0.331], [0.945, 0.917, 0.831], [0.315, 0.645, 0.032], [0.315, 0.855, 0.532], [0.685, 0.145, 0.468], [0.685, 0.355, 0.968], [0.435, 0.104, 0.828], [0.435, 0.396, 0.328], [0.565, 0.604, 0.672], [0.565, 0.896, 0.172], [0.192, 0.575, 0.167], [0.192, 0.925, 0.667], [0.202, 0.712, 0.491], [0.202, 0.788, 0.991], [0.258, 0.024, 0.013], [0.258, 0.476, 0.513], [0.274, 0.577, 0.835], [0.274, 0.923, 0.335], [0.344, 0.181, 0.346], [0.344, 0.319, 0.846], [0.656, 0.681, 0.154], [0.656, 0.819, 0.654], [0.726, 0.077, 0.665], [0.726, 0.423, 0.165], [0.742, 0.524, 0.487], [0.742, 0.976, 0.987], [0.798, 0.212, 0.009], [0.798, 0.288, 0.509], [0.808, 0.075, 0.333], [0.808, 0.425, 0.833]],
  "magnetic_moment_mub_per_cell": 4.0,
  "spacegroup": "P2_1/c",
  "total_energy_ev_per_cell": -191.6
}